Record 1
Below is a geometry-optimized Ba2Ge2Pb3 structure, with properties calculated at the GGA-PBE level.

Structure (POSCAR):
```
Ba2Ge2Pb3
1.0
4.0653 0.0000 0.0000
0.0000 24.7880 0.0000
0.0000 0.0000 4.6443
Ba Ge Pb
4 4 6
direct
0.0000 0.1639 0.0000
0.0000 0.8361 0.0000
0.5000 0.3361 0.0000
0.5000 0.6639 0.0000
0.0000 0.2798 0.5000
0.0000 0.7202 0.5000
0.5000 0.2202 0.5000
0.5000 0.7798 0.5000
0.0000 0.0000 0.0000
0.0000 0.4355 0.5000
0.0000 0.5645 0.5000
0.5000 0.0645 0.5000
0.5000 0.5000 0.0000
0.5000 0.9355 0.5000
```

## Properties
The symmetry is No. 65. For the formation enthalpy at 0 K, the calculation gives -0.3625 eV per atom. The value obtained for the excess energy over the best structure of this formula in the dataset is 0.032 eV per atom. The volume comes out at 234.01 Å³/f.u.



Record 2
Below is a geometry-optimized Ba2GePb3 structure, with properties calculated at the GGA-PBE level.

Structure (POSCAR):
```
Ba2GePb3
1.0
12.6144 0.0000 0.0000
0.0000 5.2692 0.0000
-5.1033 0.0000 6.3689
Ba Ge Pb
4 2 6
direct
0.0000 0.0000 0.0000
0.1172 0.0000 0.6200
0.5000 0.5000 0.0000
0.6172 0.5000 0.6200
0.2252 0.5000 0.0258
0.7252 0.0000 0.0258
0.2215 0.5000 0.3878
0.3813 0.0000 0.1962
0.4142 0.0000 0.6228
0.7215 0.0000 0.3878
0.8813 0.5000 0.1962
0.9142 0.5000 0.6228
```

## Properties
The symmetry is No. 8. For the formation enthalpy at 0 K, the calculation gives -0.4107 eV per atom. The volume comes out at 211.67 Å³/f.u.



Which of these has the lowest formation enthalpy at 0 K? Ba2GePb3



Which value of formation enthalpy at 0 K does entry 2 give? -0.4107 eV per atom



Which formula does entry 2 have? Ba2GePb3